Ca2CuSb2: optimized geometry, PBE. Values from VASP.

Calculated values
The total magnetization comes out at 0.0 μB per cell. The space group is No. 139. For the offset from the most stable computed form, the calculation gives 180 meV/atom. The density of states at the Fermi level is 2.5 states/eV/cell.

Quantum ESPRESSO input file:
```
&SYSTEM
  ibrav = 0, nat = 5, ntyp = 3
/
ATOMIC_SPECIES
Sb 121.76 Sb.upf
Ca 40.08 Ca.upf
Cu 63.55 Cu.upf
ATOMIC_POSITIONS crystal
Sb 0.6922 0.6922 0.0000
Sb 0.3078 0.3078 0.0000
Ca 0.7500 0.2500 0.5000
Ca 0.2500 0.7500 0.5000
Cu 0.0000 0.0000 0.0000
CELL_PARAMETERS angstrom
-1.5999 -4.1985 4.0635
-5.5073 0.0619 -2.5231
4.7897 -1.0891 -3.5458
```